Density functional theory data (GGA-PBE) for a relaxed ZrMoRu2 crystal.

Lattice parameters (Å, degrees): 7.112 7.112 5.761 51.88 51.88 90.00
Element x y z (fractional)
1 Ru 0.875 0.909 0.750
2 Ru 0.659 0.125 0.250
3 Ru 0.375 0.341 0.750
4 Ru 0.091 0.625 0.250
5 Zr 0.500 0.500 0.000
6 Zr 0.250 0.750 0.500
7 Mo 0.750 0.250 0.500
8 Mo 0.000 0.000 0.000

Summary:
Space group = I-42d
ρ = 9097 kg/m³
E above lowest polymorph = 1.78 eV/f.u.
Total magnetic moment = 0.00 μB/f.u.